[1]
Tb4GaHgSe2 | PBE | relaxed

a b c (Å): 4.0007 6.9543 7.7811
angles (deg): 107.16 90.00 90.00
Sites, in units of the cell vectors:
Se 0.5000 0.0000 0.5000
Se 0.0000 0.5000 0.5000
Tb 0.0000 0.2529 0.7410
Tb 0.5000 0.7399 0.7350
Tb 0.0000 0.7471 0.2590
Tb 0.5000 0.2601 0.2650
Hg 0.0000 0.0000 0.0000
Ga 0.5000 0.5000 0.0000

Summary:
The calculation puts the final energy at -4.741 eV per atom. The space group is No. 10.

***

[2]
KCrSe2 | PBE | relaxed

a b c (Å): 8.1235 8.1235 6.5078
angles (deg): 51.38 51.38 90.00
Sites, in units of the cell vectors:
Cr 0.7500 0.2500 0.5000
Cr 0.2500 0.7500 0.5000
K 0.7500 0.7500 0.5000
K 0.2500 0.2500 0.5000
Se 0.8456 0.3456 0.0000
Se 0.1544 0.6544 0.0000
Se 0.3456 0.1544 0.0000
Se 0.6544 0.8456 0.0000

Summary:
The calculation puts the final energy at -4.994 eV per atom. The space group is No. 140.

***

[3]
CuAsP3 | PBE | relaxed

a b c (Å): 4.4894 4.4894 4.4894
angles (deg): 90.00 90.00 90.00
Sites, in units of the cell vectors:
P 0.0000 0.0000 0.5000
P 0.5000 0.0000 0.0000
P 0.0000 0.5000 0.0000
Cu 0.0000 0.0000 0.0000
As 0.5000 0.5000 0.5000

Summary:
The value obtained for the formation energy is 4.637 eV/f.u. The space group is No. 221. As for the energy above the most stable polymorph in this dataset: 0 meV/atom.

***

[4]
Nd3OsPd | PBE | relaxed

a b c (Å): 8.3850 7.9032 7.9032
angles (deg): 90.41 88.62 88.62
Sites, in units of the cell vectors:
Nd 0.4185 0.1948 0.9581
Nd 0.1738 0.5841 0.9349
Nd 0.5867 0.5182 0.6983
Nd 0.5815 0.8052 0.0419
Nd 0.0815 0.0419 0.8052
Nd 0.9185 0.9581 0.1948
Nd 0.9133 0.3017 0.4818
Nd 0.6738 0.9349 0.5841
Nd 0.3262 0.0651 0.4159
Nd 0.4133 0.4818 0.3017
Nd 0.0867 0.6983 0.5182
Nd 0.8262 0.4159 0.0651
Os 0.3668 0.8259 0.7312
Os 0.6332 0.1741 0.2688
Os 0.8668 0.7312 0.8259
Os 0.1332 0.2688 0.1741
Pd 0.2500 0.3739 0.6261
Pd 0.7500 0.1140 0.8860
Pd 0.7500 0.6261 0.3739
Pd 0.2500 0.8860 0.1140

Summary:
The value obtained for the formation energy is -1.186 eV/f.u. The space group is No. 15.

***

[5]
Cs3AcNd2Te6 | PBE | relaxed

a b c (Å): 8.2386 8.2386 9.3764
angles (deg): 98.43 98.43 120.00
Sites, in units of the cell vectors:
Nd 0.6669 0.3331 0.0000
Nd 0.3331 0.6669 0.0000
Te 0.0659 0.4101 0.1973
Te 0.4101 0.0659 0.1973
Te 0.2787 0.2787 0.8035
Te 0.9341 0.5899 0.8027
Te 0.7213 0.7213 0.1965
Te 0.5899 0.9341 0.8027
Ac 0.0000 0.0000 0.0000
Cs 0.5000 0.5000 0.5000
Cs 0.8355 0.1645 0.5000
Cs 0.1645 0.8355 0.5000

Summary:
The calculation puts the final energy at -4.363 eV per atom. The space group is No. 12.

***

[6]
Cu2WBr | PBE | relaxed

a b c (Å): 5.1725 5.1725 5.1725
angles (deg): 137.76 137.76 61.27
Each line ends with the local moment (μB).
Sites, in units of the cell vectors:
Cu 0.5000 0.5000 0.0000  0.01
Cu 0.0000 0.0000 0.0000  0.01
Br 0.7500 0.2500 0.5000  0.01
W 0.2500 0.7500 0.5000  0.27

Summary:
The space group is No. 139. As for the energy above the most stable polymorph in this dataset: 669 meV/atom.